Compound: MgB3N
Source: Alexandria via LeMat-Bulk
Functional: GGA-PBE
Structure: relaxed

Formation energy from raw total energies = 3.33 eV/atom
Space group = Pm-3m (221)
Crystal system = cubic

Cell and atoms, written as POSCAR:
```
MgB3N
1.0
4.401 0.000 0.000
0.000 4.401 0.000
0.000 0.000 4.401
Mg B N
1 3 1
Direct
0.000 0.000 0.000 Mg
0.000 0.000 0.500 B
0.000 0.500 0.000 B
0.500 0.000 0.000 B
0.500 0.500 0.500 N
```

Compound: TiGaFe
Source: Alexandria via LeMat-Bulk
Functional: GGA-PBE
Structure: relaxed

Calculated formation energy = -0.08 eV/f.u.
Space group = Pmmm (47)
Crystal system = orthorhombic

Cell and atoms, written as POSCAR:
```
TiGaFe
1.0
2.796 0.000 0.000
0.000 4.045 0.000
0.000 0.000 4.122
Ti Ga Fe
1 1 1
Direct
0.000 0.000 0.000 Ti
0.000 0.500 0.500 Ga
0.500 0.500 0.000 Fe
```

Compound: MnTl2Te
Source: Alexandria via LeMat-Bulk
Functional: GGA-PBE
Structure: relaxed

Formation energy from raw total energies = 0.32 eV/atom
Space group = F-43m (216)
Crystal system = cubic

Cell and atoms, written as POSCAR:
```
MnTl2Te
1.0
0.000 3.796 3.796
3.796 0.000 3.796
3.796 3.796 0.000
Mn Tl Te
1 2 1
Direct
0.000 0.000 0.000 Mn
0.250 0.250 0.250 Tl
0.500 0.500 0.500 Tl
0.750 0.750 0.750 Te
```

Compound: NdLu2Cu
Source: Alexandria via LeMat-Bulk
Functional: GGA-PBE
Structure: relaxed

Calculated formation energy = 0.04 eV/f.u.
Space group = R-3m (166)
Crystal system = trigonal

Cell and atoms, written as POSCAR:
```
NdLu2Cu
1.0
1.802 1.040 9.702
-1.802 1.040 9.702
0.000 -2.081 9.702
Nd Lu Cu
1 2 1
Direct
0.000 0.000 0.000 Nd
0.232 0.232 0.232 Lu
0.768 0.768 0.768 Lu
0.500 0.500 0.500 Cu
```